Entry 1:
{"formula": "CsTcNi3", "functional": "PBEsol", "state": "optimized geometry", "lattice_angstrom": [[4.605, 0.000, 0.000], [0.000, 4.605, 0.000], [0.000, 0.000, 4.605]], "species": ["Cs", "Tc", "Ni", "Ni", "Ni"], "fractional_positions": [[0.000, 0.000, 0.000], [0.500, 0.500, 0.500], [0.000, 0.000, 0.500], [0.000, 0.500, 0.000], [0.500, 0.000, 0.000]], "total_energy_ev_per_atom": -3.504}



Entry 2:
{"formula": "CsTi3Ni", "functional": "PBEsol", "state": "optimized geometry", "lattice_angstrom": [[4.833, 0.000, 0.000], [0.000, 4.833, 0.000], [0.000, 0.000, 4.833]], "species": ["Cs", "Ti", "Ti", "Ti", "Ni"], "fractional_positions": [[0.000, 0.000, 0.000], [0.000, 0.000, 0.500], [0.000, 0.500, 0.000], [0.500, 0.000, 0.000], [0.500, 0.500, 0.500]], "total_energy_ev_per_atom": -4.125}



Entry 3:
{"formula": "Cs2NpS2O10", "functional": "PBEsol", "state": "optimized geometry", "lattice_angstrom": [[10.825, 0.000, 0.000], [0.000, 8.975, 0.000], [-6.752, 0.000, 11.031]], "species": ["Cs", "Cs", "Cs", "Cs", "Cs", "Cs", "Cs", "Cs", "Np", "Np", "Np", "Np", "S", "S", "S", "S", "S", "S", "S", "S", "O", "O", "O", "O", "O", "O", "O", "O", "O", "O", "O", "O", "O", "O", "O", "O", "O", "O", "O", "O", "O", "O", "O", "O", "O", "O", "O", "O", "O", "O", "O", "O", "O", "O", "O", "O", "O", "O", "O", "O"], "fractional_positions": [[0.212, 0.100, 0.429], [0.212, 0.400, 0.929], [0.274, 0.580, 0.302], [0.274, 0.920, 0.802], [0.726, 0.080, 0.198], [0.726, 0.420, 0.698], [0.788, 0.600, 0.071], [0.788, 0.900, 0.571], [0.281, 0.011, 0.139], [0.281, 0.489, 0.639], [0.719, 0.511, 0.361], [0.719, 0.989, 0.861], [0.023, 0.746, 0.438], [0.023, 0.754, 0.938], [0.484, 0.687, 0.140], [0.484, 0.813, 0.640], [0.516, 0.187, 0.360], [0.516, 0.313, 0.860], [0.977, 0.246, 0.062], [0.977, 0.254, 0.562], [0.024, 0.201, 0.683], [0.024, 0.299, 0.183], [0.095, 0.641, 0.032], [0.095, 0.859, 0.532], [0.106, 0.188, 0.057], [0.106, 0.312, 0.557], [0.122, 0.613, 0.466], [0.122, 0.887, 0.966], [0.204, 0.568, 0.720], [0.204, 0.932, 0.220], [0.358, 0.087, 0.056], [0.358, 0.225, 0.281], [0.358, 0.275, 0.781], [0.358, 0.413, 0.556], [0.399, 0.710, 0.671], [0.399, 0.790, 0.171], [0.433, 0.693, 0.012], [0.433, 0.807, 0.512], [0.472, 0.534, 0.180], [0.472, 0.966, 0.680], [0.528, 0.034, 0.320], [0.528, 0.466, 0.820], [0.567, 0.193, 0.488], [0.567, 0.307, 0.988], [0.601, 0.210, 0.829], [0.601, 0.290, 0.329], [0.642, 0.587, 0.444], [0.642, 0.725, 0.219], [0.642, 0.775, 0.719], [0.642, 0.913, 0.944], [0.796, 0.068, 0.780], [0.796, 0.432, 0.280], [0.878, 0.113, 0.034], [0.878, 0.387, 0.534], [0.894, 0.688, 0.443], [0.894, 0.812, 0.943], [0.905, 0.141, 0.468], [0.905, 0.359, 0.968], [0.976, 0.701, 0.817], [0.976, 0.799, 0.317]], "e_form_raw_mev_per_atom": -2023, "total_energy_ev_per_atom": -7.156}



Entry 4:
{"formula": "Cs2O", "functional": "PBEsol", "state": "optimized geometry", "lattice_angstrom": [[6.869, 0.000, 0.000], [0.000, 5.314, 0.000], [0.000, 0.000, 9.755]], "species": ["Cs", "Cs", "Cs", "Cs", "Cs", "Cs", "Cs", "Cs", "O", "O", "O", "O"], "fractional_positions": [[0.006, 0.250, 0.134], [0.097, 0.250, 0.617], [0.403, 0.750, 0.117], [0.494, 0.750, 0.634], [0.506, 0.250, 0.366], [0.597, 0.250, 0.883], [0.903, 0.750, 0.383], [0.994, 0.750, 0.866], [0.200, 0.250, 0.895], [0.300, 0.750, 0.395], [0.700, 0.250, 0.605], [0.800, 0.750, 0.105]], "e_form_raw_mev_per_atom": -975, "total_energy_ev_per_atom": -3.353}